Entry 1:
18
Lattice="-2.954 -0.086 2.945 2.202 -8.576 -0.997 8.886 1.242 8.948" Properties=species:S:1:pos:R:3 comment="Sr2TbSnS5, relaxed, DFT PBE-GGA" total_energy_ev_per_cell=-93.8 sg="Cmc2_1 (36)" raw_formation_energy_mev_per_atom=-1584 vol_a3_per_atom=25.44 pbc="T T T"
S 3.137 -1.684 6.052
S 7.502 -7.527 7.305
S 0.881 0.142 3.843
Sn 4.709 -7.475 4.505
S 3.790 -4.998 3.655
Sr 2.903 -1.999 2.853
S 4.221 -7.016 6.984
S 6.562 -2.113 9.474
S 0.276 -3.609 3.126
S 9.402 -5.121 9.280
Tb 0.464 -3.678 0.359
Sn 7.048 0.561 10.040
S 6.287 -4.031 6.188
Sr 6.220 -1.047 6.207
Tb 3.533 -4.320 6.373
S 0.688 -0.855 0.665
Sr 6.194 -5.287 9.013
Sr 0.706 -6.542 3.473



Entry 2:
6
Lattice="-5.239 0.111 0.312 -2.557 4.568 -0.395 -2.863 1.045 -4.275" Properties=species:S:1:pos:R:3 comment="SiPW4, relaxed, DFT PBE-GGA" total_energy_ev_per_cell=-57.3 sg="F-43m (216)" raw_formation_energy_mev_per_atom=892 vol_a3_per_atom=17.05 pbc="T T T"
W -5.276 4.426 -1.833
W -4.000 2.148 -1.636
W -6.614 2.204 -1.480
P -7.994 4.293 -3.269
Si 0.000 0.000 0.000
W -5.428 2.669 -3.768



Entry 3:
7
Lattice="4.733 0.000 0.000 0.000 4.733 0.000 -2.366 -2.366 6.966" Properties=species:S:1:pos:R:3 comment="EuIn2F4, relaxed, DFT PBE-GGA" total_energy_ev_per_cell=-40.6 sg="I4/mmm (139)" raw_formation_energy_mev_per_atom=-2479 vol_a3_per_atom=22.29 pbc="T T T"
F 0.000 2.366 0.000
In 2.366 2.366 2.219
F 0.000 0.000 2.418
In 0.000 0.000 4.747
F 2.366 0.000 0.000
F 2.366 2.366 4.548
Eu 0.000 0.000 0.000



Entry 4:
6
Lattice="0.000 4.347 4.347 4.347 0.000 4.347 4.347 4.347 0.000" Properties=species:S:1:pos:R:3 comment="CdReSb4, relaxed, DFT PBE-GGA" total_energy_ev_per_cell=-23.0 sg="F-43m (216)" raw_formation_energy_mev_per_atom=1138 vol_a3_per_atom=27.38 pbc="T T T"
Re 0.000 0.000 0.000
Sb 5.433 5.433 3.261
Sb 5.433 3.261 5.433
Cd 6.520 6.520 6.520
Sb 3.261 5.433 5.433
Sb 3.261 3.261 3.261



Entry 5:
12
Lattice="4.461 -0.792 -0.031 -3.058 4.909 1.130 -0.036 0.072 7.774" Properties=species:S:1:pos:R:3 comment="Ni4PdPt, relaxed, DFT PBE-GGA" total_energy_ev_per_cell=-69.0 sg="P-1 (2)" formation_enthalpy_0k_ev_per_atom=-0.021 vol_a3_per_atom=12.59 pbc="T T T"
Ni 1.069 -0.151 4.542
Ni -1.951 4.771 8.233
Ni 2.862 1.730 7.036
Pt -1.547 2.490 4.452
Ni -1.495 2.458 1.837
Pt 0.702 2.058 0.549
Ni 3.318 -0.583 0.640
Ni 0.298 4.339 4.330
Ni 0.650 2.090 3.165
Pd 1.106 -0.180 1.936
Ni 0.718 2.098 5.708
Pd 0.261 4.368 6.937



Entry 6:
5
Lattice="4.361 0.000 0.000 0.000 3.548 0.000 0.000 0.000 4.361" Properties=species:S:1:pos:R:3 comment="BaCSO2, relaxed, DFT PBE-GGA" total_energy_ev_per_cell=-25.6 sg="P4/mmm (123)" raw_formation_energy_mev_per_atom=-75 vol_a3_per_atom=13.50 pbc="T T T"
S 0.000 0.000 0.000
O 2.181 0.000 0.000
O 0.000 0.000 2.181
Ba 2.181 1.774 2.181
C 0.000 1.774 0.000



Entry 7:
18
Lattice="-1.265 8.980 2.409 -7.673 -6.292 1.149 2.248 -1.502 6.782" Properties=species:S:1:pos:R:3 comment="Pm5NdHo3, relaxed, DFT PBE-GGA" total_energy_ev_per_cell=-82.2 sg="Cmcm (63)" formation_enthalpy_0k_ev_per_atom=0.129 vol_a3_per_atom=33.57 pbc="T T T"
Ho -4.298 2.202 7.808
Ho -2.392 -1.016 2.533
Pm -4.662 -0.375 5.399
Pm -2.471 4.727 5.803
Nd 0.182 2.325 2.420
Pm -3.149 2.310 1.562
Pm -0.281 5.607 3.300
Pm -5.339 -2.793 1.158
Nd 0.801 5.153 6.771
Ho 0.000 0.000 0.000
Ho -1.268 -1.768 5.923
Ho 1.124 -0.751 3.391
Pm -1.351 3.979 9.182
Ho -5.422 2.954 4.417
Pm -3.541 -1.124 8.778
Pm 1.264 1.871 5.890
Pm -4.219 -3.541 4.538
Pm -2.028 1.561 4.941



Entry 8:
5
Lattice="4.337 0.000 0.000 0.000 4.337 0.000 0.000 0.000 4.337" Properties=species:S:1:pos:R:3 comment="SrTiB3, relaxed, DFT PBE-GGA" total_energy_ev_per_cell=-25.7 sg="Pm-3m (221)" formation_enthalpy_0k_ev_per_atom=0.774 vol_a3_per_atom=16.31 pbc="T T T"
B 0.000 0.000 2.168
Sr 2.168 2.168 2.168
B 0.000 2.168 0.000
B 2.168 0.000 0.000
Ti 0.000 0.000 0.000



We obtain DOS at the Fermi energy values of 3.9; 3.5; 15.5; 5.3; 17.9; 2.7; 24.5; 4.6 states/eV/cell for the records listed above, in that order.